# LiPS2Cl (PBE, relaxed)
data_LiPS2Cl
_chemical_formula_sum 'Li1 P1 S2 Cl1'
_symmetry_space_group_name_H-M 'P 4/m m m'
_symmetry_Int_Tables_number 123
_symmetry_space_group_name_Hall '-P 4 2'
_cell_length_a 4.546
_cell_length_b 4.546
_cell_length_c 4.304
_cell_angle_alpha 90.00
_cell_angle_beta 90.00
_cell_angle_gamma 90.00
loop_
_atom_site_label
_atom_site_fract_x
_atom_site_fract_y
_atom_site_fract_z
Li1 0.000 0.000 0.000
P1 0.500 0.500 0.500
S1 0.000 0.500 0.000
Cl1 0.000 0.000 0.500
# - Total energy: -2.903 eV/atom
# - Energy above the lowest structure with this stoichiometry: 765.5 meV per atom
# - Raw formation energy: 0.582 eV/atom
# - Fermi-level density of states: 1.010 states/eV/atom

***

# LiPS2Cl (PBE, relaxed)
data_LiPS2Cl
_chemical_formula_sum 'Li1 P1 S2 Cl1'
_symmetry_space_group_name_H-M 'P 4/m m m'
_symmetry_Int_Tables_number 123
_symmetry_space_group_name_Hall '-P 4 2'
_cell_length_a 4.187
_cell_length_b 4.187
_cell_length_c 5.304
_cell_angle_alpha 90.00
_cell_angle_beta 90.00
_cell_angle_gamma 90.00
loop_
_atom_site_label
_atom_site_fract_x
_atom_site_fract_y
_atom_site_fract_z
Li1 0.000 0.000 0.000
P1 0.000 0.000 0.500
S1 0.000 0.500 0.000
Cl1 0.500 0.500 0.500
# - Total energy: -2.766 eV/atom
# - Energy above the lowest structure with this stoichiometry: 903.1 meV per atom
# - Raw formation energy: 0.720 eV/atom
# - Fermi-level density of states: 0.617 states/eV/atom

***

- Among the records above, which one has the highest Fermi-level density of states?
  number 1

***

- Number 2 is which compound?
  LiPS2Cl

***

- Among the records above, which one has the highest Fermi-level density of states?
  number 1